Computed, not measured: crystalline Li4TiCrO6 at its relaxed geometry at the PBE with a Hubbard U level of DFT.

- ΔE to the lowest computed polymorph (meV per atom) = 3
- SG = P2_1/c, No. 14
- VASP energy (eV/atom) = -6.6583

Cell lengths 5.0716, 8.7827, 9.8050 Å; angles 90.00, 99.62, 90.00 degrees
Element x y z (fractional)
1 Li 0.0000 0.0000 0.0000
2 Li 0.0000 0.5000 0.5000
3 Li 0.0093 0.1603 0.5044
4 Li 0.0093 0.3397 0.0044
5 Li 0.2496 0.0021 0.7515
6 Li 0.2496 0.4979 0.2515
7 Li 0.4830 0.1605 0.0007
8 Li 0.4830 0.3395 0.5007
9 Li 0.5000 0.0000 0.5000
10 Li 0.5000 0.5000 0.0000
11 Li 0.5170 0.6605 0.4993
12 Li 0.5170 0.8395 0.9993
13 Li 0.7504 0.5021 0.7485
14 Li 0.7504 0.9979 0.2485
15 Li 0.9907 0.6603 0.9956
16 Li 0.9907 0.8397 0.4956
17 Ti 0.2572 0.6683 0.7396
18 Ti 0.2572 0.8317 0.2396
19 Ti 0.7428 0.1683 0.7604
20 Ti 0.7428 0.3317 0.2604
21 Cr 0.2387 0.1648 0.2501
22 Cr 0.2387 0.3352 0.7501
23 Cr 0.7613 0.6648 0.2499
24 Cr 0.7613 0.8352 0.7499
25 O 0.1002 0.6772 0.3605
26 O 0.1002 0.8228 0.8605
27 O 0.1050 0.1775 0.8654
28 O 0.1050 0.3225 0.3654
29 O 0.1492 0.0034 0.3642
30 O 0.1492 0.4966 0.8642
31 O 0.3581 0.5014 0.6322
32 O 0.3581 0.9986 0.1322
33 O 0.3874 0.1814 0.6405
34 O 0.3874 0.3186 0.1405
35 O 0.3960 0.6751 0.1357
36 O 0.3960 0.8249 0.6357
37 O 0.6040 0.1751 0.3643
38 O 0.6040 0.3249 0.8643
39 O 0.6126 0.6814 0.8595
40 O 0.6126 0.8186 0.3595
41 O 0.6419 0.0014 0.8678
42 O 0.6419 0.4986 0.3678
43 O 0.8508 0.5034 0.1358
44 O 0.8508 0.9966 0.6358
45 O 0.8950 0.6775 0.6346
46 O 0.8950 0.8225 0.1346
47 O 0.8998 0.1772 0.1395
48 O 0.8998 0.3228 0.6395